A relaxed Y2HoZnC crystal, computed with GGA-PBE.

Cell: 4.898 4.898 4.850 Å, 90.00 90.00 90.00°
Last column: magnetic moment on the atom in μB.
Fractional positions:
1 Y 0.500 0.000 0.000  0.10
2 Y 0.000 0.500 0.000  0.10
3 Ho 0.000 0.000 0.500  0.14
4 Zn 0.500 0.500 0.500  0.06
5 C 0.000 0.000 0.000  -0.02

Output
For the formation energy, the calculation gives -24.2 kJ/mol of atoms. The calculation puts the mass density at 6.0 g cm⁻³.